[1]
# BaY2CrN4 | Alexandria | PBE | optimized geometry
data_BaY2CrN4
_cell_length_a 3.475
_cell_length_b 6.365
_cell_length_c 11.770
_cell_angle_alpha 90.00
_cell_angle_beta 90.00
_cell_angle_gamma 105.84
_symmetry_space_group_name_H-M 'P 1'
_symmetry_Int_Tables_number 1
loop_
_symmetry_equiv_pos_as_xyz
'x,y,z'
loop_
_atom_site_label
_atom_site_type_symbol
_atom_site_fract_x
_atom_site_fract_y
_atom_site_fract_z
Ba1 Ba 0.087 0.173 0.750
Ba2 Ba 0.913 0.827 0.250
Y1 Y 0.370 0.739 0.542
Y2 Y 0.630 0.261 0.042
Y3 Y 0.630 0.261 0.458
Y4 Y 0.370 0.739 0.958
Cr1 Cr 0.820 0.640 0.750
Cr2 Cr 0.180 0.360 0.250
N1 N 0.256 0.512 0.120
N2 N 0.744 0.488 0.620
N3 N 0.744 0.488 0.880
N4 N 0.256 0.512 0.380
N5 N 0.000 0.000 0.500
N6 N 0.000 0.000 0.000
N7 N 0.394 0.788 0.750
N8 N 0.606 0.212 0.250
# - space-group type = No. 63
# - formation energy from raw total energies (eV per atom) = -1.159
# - crystal system = orthorhombic
# - total magnetic moment (μB/cell) = 3.65

---

[2]
# Ba2YCrN4 | Alexandria | PBE | optimized geometry
data_Ba2YCrN4
_cell_length_a 5.652
_cell_length_b 6.481
_cell_length_c 11.150
_cell_angle_alpha 83.66
_cell_angle_beta 75.32
_cell_angle_gamma 64.15
_symmetry_space_group_name_H-M 'P 1'
_symmetry_Int_Tables_number 1
loop_
_symmetry_equiv_pos_as_xyz
'x,y,z'
loop_
_atom_site_label
_atom_site_type_symbol
_atom_site_fract_x
_atom_site_fract_y
_atom_site_fract_z
Ba1 Ba 0.185 0.000 0.631
Ba2 Ba 0.815 0.000 0.369
Ba3 Ba 0.565 0.500 0.869
Ba4 Ba 0.935 0.500 0.131
Y1 Y 0.750 0.500 0.500
Y2 Y 0.000 0.000 0.000
Cr1 Cr 0.250 0.500 0.500
Cr2 Cr 0.500 0.000 0.000
N1 N 0.357 0.816 0.083
N2 N 0.256 0.184 0.917
N3 N 0.827 0.816 0.917
N4 N 0.560 0.184 0.083
N5 N 0.393 0.684 0.417
N6 N 0.494 0.316 0.583
N7 N 0.923 0.684 0.583
N8 N 0.190 0.316 0.417
# - space-group type = No. 70
# - formation energy from raw total energies (eV per atom) = -0.475
# - crystal system = orthorhombic
# - total magnetic moment (μB/cell) = 0.00

---

[3]
# Ba2ZnCrN4 | Alexandria | PBE | optimized geometry
data_Ba2ZnCrN4
_cell_length_a 4.767
_cell_length_b 6.221
_cell_length_c 10.417
_cell_angle_alpha 84.97
_cell_angle_beta 76.77
_cell_angle_gamma 67.47
_symmetry_space_group_name_H-M 'P 1'
_symmetry_Int_Tables_number 1
loop_
_symmetry_equiv_pos_as_xyz
'x,y,z'
loop_
_atom_site_label
_atom_site_type_symbol
_atom_site_fract_x
_atom_site_fract_y
_atom_site_fract_z
Ba1 Ba 0.175 0.000 0.649
Ba2 Ba 0.825 0.000 0.351
Ba3 Ba 0.575 0.500 0.851
Ba4 Ba 0.925 0.500 0.149
Zn1 Zn 0.750 0.500 0.500
Zn2 Zn 0.000 0.000 0.000
Cr1 Cr 0.250 0.500 0.500
Cr2 Cr 0.500 0.000 0.000
N1 N 0.331 0.813 0.098
N2 N 0.242 0.187 0.902
N3 N 0.856 0.813 0.902
N4 N 0.571 0.187 0.098
N5 N 0.419 0.687 0.402
N6 N 0.508 0.313 0.598
N7 N 0.894 0.687 0.598
N8 N 0.179 0.313 0.402
# - space-group type = No. 70
# - formation energy from raw total energies (eV per atom) = -0.469
# - crystal system = orthorhombic
# - total magnetic moment (μB/cell) = 0.00

---

[4]
# Ba3NaCr | Alexandria | PBE | optimized geometry
data_Ba3NaCr
_cell_length_a 6.087
_cell_length_b 6.087
_cell_length_c 6.087
_cell_angle_alpha 90.00
_cell_angle_beta 90.00
_cell_angle_gamma 90.00
_symmetry_space_group_name_H-M 'P 1'
_symmetry_Int_Tables_number 1
loop_
_symmetry_equiv_pos_as_xyz
'x,y,z'
loop_
_atom_site_label
_atom_site_type_symbol
_atom_site_fract_x
_atom_site_fract_y
_atom_site_fract_z
Cr1 Cr 0.000 0.000 0.000
Ba1 Ba 0.000 0.500 0.000
Ba2 Ba 0.000 0.000 0.500
Ba3 Ba 0.500 0.000 0.000
Na1 Na 0.500 0.500 0.500
# - formation energy from the elements (eV/atom) = 0.676
# - space-group type = No. 221
# - crystal system = cubic
# - total magnetic moment (μB/cell) = 0.00

---

[5]
# Ba2NaCr | Alexandria | PBE | optimized geometry
data_Ba2NaCr
_cell_length_a 9.615
_cell_length_b 9.615
_cell_length_c 7.817
_cell_angle_alpha 52.05
_cell_angle_beta 52.05
_cell_angle_gamma 90.00
_symmetry_space_group_name_H-M 'P 1'
_symmetry_Int_Tables_number 1
loop_
_symmetry_equiv_pos_as_xyz
'x,y,z'
loop_
_atom_site_label
_atom_site_type_symbol
_atom_site_fract_x
_atom_site_fract_y
_atom_site_fract_z
Cr1 Cr 0.000 0.000 0.000
Cr2 Cr 0.750 0.250 0.500
Ba1 Ba 0.651 0.125 0.250
Ba2 Ba 0.099 0.625 0.250
Ba3 Ba 0.375 0.349 0.750
Ba4 Ba 0.875 0.901 0.750
Na1 Na 0.500 0.500 0.000
Na2 Na 0.250 0.750 0.500
# - formation energy from the elements (eV/atom) = 0.616
# - space-group type = No. 122
# - crystal system = tetragonal
# - total magnetic moment (μB/cell) = 8.73

---

[6]
# BaNa2Cr | Alexandria | PBE | optimized geometry
data_BaNa2Cr
_cell_length_a 4.896
_cell_length_b 4.896
_cell_length_c 13.242
_cell_angle_alpha 79.35
_cell_angle_beta 79.35
_cell_angle_gamma 90.00
_symmetry_space_group_name_H-M 'P 1'
_symmetry_Int_Tables_number 1
loop_
_symmetry_equiv_pos_as_xyz
'x,y,z'
loop_
_atom_site_label
_atom_site_type_symbol
_atom_site_fract_x
_atom_site_fract_y
_atom_site_fract_z
Cr1 Cr 0.500 0.500 0.000
Cr2 Cr 0.250 0.750 0.500
Ba1 Ba 0.000 0.000 0.000
Ba2 Ba 0.750 0.250 0.500
Na1 Na 0.581 0.125 0.250
Na2 Na 0.169 0.625 0.250
Na3 Na 0.375 0.419 0.750
Na4 Na 0.875 0.831 0.750
# - formation energy from the elements (eV/atom) = 0.585
# - space-group type = No. 122
# - crystal system = tetragonal
# - total magnetic moment (μB/cell) = 9.43

---

[7]
# BaNaCr2 | Alexandria | PBE | optimized geometry
data_BaNaCr2
_cell_length_a 5.647
_cell_length_b 5.647
_cell_length_c 5.647
_cell_angle_alpha 60.00
_cell_angle_beta 60.00
_cell_angle_gamma 60.00
_symmetry_space_group_name_H-M 'P 1'
_symmetry_Int_Tables_number 1
loop_
_symmetry_equiv_pos_as_xyz
'x,y,z'
loop_
_atom_site_label
_atom_site_type_symbol
_atom_site_fract_x
_atom_site_fract_y
_atom_site_fract_z
Cr1 Cr 0.250 0.250 0.250
Cr2 Cr 0.750 0.750 0.750
Ba1 Ba 0.500 0.500 0.500
Na1 Na 0.000 0.000 0.000
# - formation energy from the elements (eV/atom) = 0.983
# - space-group type = No. 225
# - crystal system = cubic
# - total magnetic moment (μB/cell) = 9.62

---

[8]
# BaNaCr2 | Alexandria | PBE | optimized geometry
data_BaNaCr2
_cell_length_a 8.870
_cell_length_b 8.870
_cell_length_c 7.062
_cell_angle_alpha 51.10
_cell_angle_beta 51.10
_cell_angle_gamma 90.00
_symmetry_space_group_name_H-M 'P 1'
_symmetry_Int_Tables_number 1
loop_
_symmetry_equiv_pos_as_xyz
'x,y,z'
loop_
_atom_site_label
_atom_site_type_symbol
_atom_site_fract_x
_atom_site_fract_y
_atom_site_fract_z
Cr1 Cr 0.601 0.125 0.250
Cr2 Cr 0.149 0.625 0.250
Cr3 Cr 0.375 0.399 0.750
Cr4 Cr 0.875 0.851 0.750
Ba1 Ba 0.000 0.000 0.000
Ba2 Ba 0.750 0.250 0.500
Na1 Na 0.500 0.500 0.000
Na2 Na 0.250 0.750 0.500
# - formation energy from the elements (eV/atom) = 1.111
# - space-group type = No. 122
# - crystal system = tetragonal
# - total magnetic moment (μB/cell) = 18.69